Entry from Alexandria: a relaxed LiCrPO4 crystal (PBE+U).

Cell: 4.9003 6.3250 5.2821 Å, 90.00 111.14 90.00°
With the nearest neighbours (Å) after each atom.
Space group P2_1/m (No. 11)
Unique sites:
Li  0.1938  0.2500  0.3545 [2 per cell]  3 O 1.99-2.03
Cr  0.5000  0.0000  0.0000 [2 per cell]  4 O 2.07-2.13
P  0.1356  0.7500  0.3320 [2 per cell]  4 O 1.55-1.59
O  0.2110  0.7500  0.6428 [2 per cell]  1 P 1.55
O  0.2125  0.2500  0.7998 [2 per cell]  1 P 1.59
O  0.2547  0.5486  0.2422 [4 per cell]  1 P 1.55

Output
Its relative energy among the computed polymorphs is 0.0115 eV per atom. As for the final energy: -7.120 eV per atom. The value obtained for the size of the total moment is 8.00 Bohr magnetons per cell. Its crystal system is monoclinic.